Record 1
Below is a relaxed structure of SrO3, with properties calculated at the PBE-GGA level.

```
data_SrO3
_symmetry_space_group_name_H-M 'P m c 21'
_symmetry_Int_Tables_number 26
_symmetry_space_group_name_Hall 'P 2c -2'
_cell_length_a 3.8701
_cell_length_b 4.8245
_cell_length_c 5.9898
_cell_angle_alpha 90.00
_cell_angle_beta 90.00
_cell_angle_gamma 90.00
loop_
_atom_site_label
_atom_site_type_symbol
_atom_site_fract_x
_atom_site_fract_y
_atom_site_fract_z
Sr1 Sr 0.0000 0.2154 0.0000
O1 O 0.0000 0.2943 0.5914
O2 O 0.5000 0.1222 0.3116
O3 O 0.5000 0.3160 0.4807
```

Summary:
* formation energy from raw total energies: -1153.3 meV/atom
* crystal system: orthorhombic
* spin magnetization: 0.00 μB/atom

Record 2
Below is a relaxed structure of HgMoOs, with properties calculated at the PBE-GGA level.

```
data_HgMoOs
_symmetry_space_group_name_H-M 'I m m 2'
_symmetry_Int_Tables_number 44
_symmetry_space_group_name_Hall 'I 2 -2'
_cell_length_a 2.9249
_cell_length_b 3.8284
_cell_length_c 9.0126
_cell_angle_alpha 90.00
_cell_angle_beta 90.00
_cell_angle_gamma 90.00
loop_
_atom_site_label
_atom_site_type_symbol
_atom_site_fract_x
_atom_site_fract_y
_atom_site_fract_z
Hg1 Hg 0.0000 0.0000 0.0000
Mo1 Mo 0.0000 0.0000 0.3159
Os1 Os 0.0000 0.0000 0.6831
```

Summary:
* crystal system: orthorhombic
* ΔH_f (0 K): 0.528 eV/atom
* polymorph energy (0 for the lowest one): 0.142 eV per atom
* spin magnetization: 0.00 μB/atom

Record 3
Below is a relaxed structure of LiTh2Pd, with properties calculated at the PBE-GGA level.

```
data_LiTh2Pd
_symmetry_space_group_name_H-M 'P 4/m m m'
_symmetry_Int_Tables_number 123
_symmetry_space_group_name_Hall '-P 4 2'
_cell_length_a 3.7602
_cell_length_b 3.7602
_cell_length_c 6.9354
_cell_angle_alpha 90.00
_cell_angle_beta 90.00
_cell_angle_gamma 90.00
loop_
_atom_site_label
_atom_site_type_symbol
_atom_site_fract_x
_atom_site_fract_y
_atom_site_fract_z
Li1 Li 0.0000 0.0000 0.0000
Th1 Th 0.5000 0.5000 0.2617
Pd1 Pd 0.0000 0.0000 0.5000
```

Summary:
* crystal system: tetragonal
* ΔH_f (0 K): -0.204 eV/atom
* spin magnetization: 0.00 μB/atom

Record 4
Below is a relaxed structure of KZrCuI6, with properties calculated at the PBE-GGA level.

```
data_KZrCuI6
_symmetry_space_group_name_H-M 'P -3 1 c'
_symmetry_Int_Tables_number 163
_symmetry_space_group_name_Hall '-P 3 2c'
_cell_length_a 7.5120
_cell_length_b 7.5120
_cell_length_c 15.6841
_cell_angle_alpha 90.00
_cell_angle_beta 90.00
_cell_angle_gamma 120.00
loop_
_atom_site_label
_atom_site_type_symbol
_atom_site_fract_x
_atom_site_fract_y
_atom_site_fract_z
K1 K 0.0000 0.0000 0.0000
Zr1 Zr 0.3333 0.6667 0.2500
Cu1 Cu 0.3333 0.6667 0.7500
I1 I 0.0003 0.3709 0.1453
```

Summary:
* formation energy from raw total energies: -798.5 meV/atom
* crystal system: trigonal
* spin magnetization: 0.01 μB/atom

Record 5
Below is a relaxed structure of Tb2ErAgTe5, with properties calculated at the PBE-GGA level.

```
data_Tb2ErAgTe5
_symmetry_space_group_name_H-M 'C m c 21'
_symmetry_Int_Tables_number 36
_symmetry_space_group_name_Hall 'C 2c -2'
_cell_length_a 4.3181
_cell_length_b 18.5943
_cell_length_c 13.2454
_cell_angle_alpha 90.00
_cell_angle_beta 90.00
_cell_angle_gamma 90.00
loop_
_atom_site_label
_atom_site_type_symbol
_atom_site_fract_x
_atom_site_fract_y
_atom_site_fract_z
Tb1 Tb 0.0000 0.1115 0.0000
Tb2 Tb 0.0000 0.1263 0.6163
Er1 Er 0.0000 0.1912 0.3230
Ag1 Ag 0.0000 0.4320 0.7760
Te1 Te 0.0000 0.0411 0.3951
Te2 Te 0.0000 0.2858 0.9828
Te3 Te 0.0000 0.3059 0.6533
Te4 Te 0.0000 0.3567 0.3134
Te5 Te 0.0000 0.4981 0.0948
```

Summary:
* formation energy from raw total energies: -1101.6 meV/atom
* crystal system: orthorhombic
* spin magnetization: 0.00 μB/atom

Record 6
Below is a relaxed structure of ReAgOs2, with properties calculated at the PBE-GGA level.

```
data_ReAgOs2
_symmetry_space_group_name_H-M 'C m m 2'
_symmetry_Int_Tables_number 35
_symmetry_space_group_name_Hall 'C 2 -2'
_cell_length_a 2.8112
_cell_length_b 4.6157
_cell_length_c 9.6196
_cell_angle_alpha 90.00
_cell_angle_beta 90.00
_cell_angle_gamma 90.00
loop_
_atom_site_label
_atom_site_type_symbol
_atom_site_fract_x
_atom_site_fract_y
_atom_site_fract_z
Re1 Re 0.0000 0.0000 0.0000
Ag1 Ag 0.0000 0.5000 0.2660
Os1 Os 0.0000 0.0000 0.5294
Os2 Os 0.0000 0.5000 0.7667
```

Summary:
* crystal system: orthorhombic
* ΔH_f (0 K): 0.641 eV/atom
* polymorph energy (0 for the lowest one): 0.375 eV per atom
* spin magnetization: 0.00 μB/atom

Record 7
Below is a relaxed structure of LiAsP2Cl, with properties calculated at the PBE-GGA level.

```
data_LiAsP2Cl
_symmetry_space_group_name_H-M 'P 4/m m m'
_symmetry_Int_Tables_number 123
_symmetry_space_group_name_Hall '-P 4 2'
_cell_length_a 4.6962
_cell_length_b 4.6962
_cell_length_c 4.1371
_cell_angle_alpha 90.00
_cell_angle_beta 90.00
_cell_angle_gamma 90.00
loop_
_atom_site_label
_atom_site_type_symbol
_atom_site_fract_x
_atom_site_fract_y
_atom_site_fract_z
Li1 Li 0.0000 0.0000 0.0000
As1 As 0.5000 0.5000 0.5000
P1 P 0.0000 0.5000 0.0000
Cl1 Cl 0.0000 0.0000 0.5000
```

Summary:
* formation energy from raw total energies: 654.9 meV/atom
* crystal system: tetragonal
* polymorph energy (0 for the lowest one): 0.328 eV per atom
* spin magnetization: 0.00 μB/atom

Record 8
Below is a relaxed structure of MgGa2, with properties calculated at the PBE-GGA level.

```
data_MgGa2
_symmetry_space_group_name_H-M 'A m m 2'
_symmetry_Int_Tables_number 38
_symmetry_space_group_name_Hall 'A 2 -2'
_cell_length_a 4.6631
_cell_length_b 3.1029
_cell_length_c 15.9944
_cell_angle_alpha 90.00
_cell_angle_beta 90.00
_cell_angle_gamma 90.00
loop_
_atom_site_label
_atom_site_type_symbol
_atom_site_fract_x
_atom_site_fract_y
_atom_site_fract_z
Mg1 Mg 0.0000 0.0000 0.0000
Mg2 Mg 0.0000 0.0000 0.3270
Ga1 Ga 0.0000 0.0000 0.6637
Ga2 Ga 0.5000 0.0000 0.1139
Ga3 Ga 0.5000 0.0000 0.4399
Ga4 Ga 0.5000 0.0000 0.7795
```

Summary:
* crystal system: orthorhombic
* ΔH_f (0 K): -0.090 eV/atom
* spin magnetization: 0.00 μB/atom

Record 9
Below is a relaxed structure of Ba2SmSn3Pd4, with properties calculated at the PBE-GGA level.

```
data_Ba2SmSn3Pd4
_symmetry_space_group_name_H-M 'P -4 m 2'
_symmetry_Int_Tables_number 115
_symmetry_space_group_name_Hall 'P -4 -2'
_cell_length_a 4.7675
_cell_length_b 4.7675
_cell_length_c 11.4082
_cell_angle_alpha 90.00
_cell_angle_beta 90.00
_cell_angle_gamma 90.00
loop_
_atom_site_label
_atom_site_type_symbol
_atom_site_fract_x
_atom_site_fract_y
_atom_site_fract_z
Ba1 Ba 0.0000 0.5000 0.2322
Sm1 Sm 0.0000 0.0000 0.5000
Sn1 Sn 0.0000 0.5000 0.8850
Sn2 Sn 0.5000 0.5000 0.5000
Pd1 Pd 0.0000 0.0000 0.0000
Pd2 Pd 0.0000 0.5000 0.6445
Pd3 Pd 0.5000 0.5000 0.0000
```

Summary:
* crystal system: tetragonal
* ΔH_f (0 K): -0.748 eV/atom
* spin magnetization: 0.00 μB/atom

Record 10
Below is a relaxed structure of Ba2AsP, with properties calculated at the PBE-GGA level.

```
data_Ba2AsP
_symmetry_space_group_name_H-M 'I m m 2'
_symmetry_Int_Tables_number 44
_symmetry_space_group_name_Hall 'I 2 -2'
_cell_length_a 4.4781
_cell_length_b 4.6918
_cell_length_c 12.8523
_cell_angle_alpha 90.00
_cell_angle_beta 90.00
_cell_angle_gamma 90.00
loop_
_atom_site_label
_atom_site_type_symbol
_atom_site_fract_x
_atom_site_fract_y
_atom_site_fract_z
Ba1 Ba 0.0000 0.0000 0.0000
Ba2 Ba 0.0000 0.5000 0.2459
As1 As 0.0000 0.5000 0.8201
P1 P 0.0000 0.0000 0.4220
```

Summary:
* crystal system: orthorhombic
* ΔH_f (0 K): -0.677 eV/atom
* polymorph energy (0 for the lowest one): 0.283 eV per atom
* spin magnetization: 0.00 μB/atom

Record 11
Below is a relaxed structure of VZn2I2, with properties calculated at the PBE-GGA level.

```
data_VZn2I2
_symmetry_space_group_name_H-M 'I 4/m m m'
_symmetry_Int_Tables_number 139
_symmetry_space_group_name_Hall '-I 4 2'
_cell_length_a 5.8359
_cell_length_b 5.8359
_cell_length_c 7.9469
_cell_angle_alpha 90.00
_cell_angle_beta 90.00
_cell_angle_gamma 90.00
loop_
_atom_site_label
_atom_site_type_symbol
_atom_site_fract_x
_atom_site_fract_y
_atom_site_fract_z
V1 V 0.0000 0.0000 0.0000
Zn1 Zn 0.0000 0.0000 0.3490
I1 I 0.0000 0.5000 0.2500
```

Summary:
* formation energy from raw total energies: 456.5 meV/atom
* crystal system: tetragonal
* polymorph energy (0 for the lowest one): 0.000 eV per atom
* spin magnetization: 0.77 μB/atom